[1]
An optimized crystal structure of FeAuCl2. Source: the Alexandria database, functional PBE-GGA.

Geometry as extended XYZ:
```
4
Lattice="-2.2127 2.2379 0.7880 -1.7418 -0.4125 -3.7195 -5.0717 -5.2636 0.7071" Properties=species:S:1:pos:R:3 pbc="T T T"
Cl -4.7513 -4.7685 0.2004
Cl -3.4964 -0.8148 -0.8252
Fe -3.4157 -3.1657 -0.6009
Au -5.8413 -2.7909 -1.7978
```

Computed properties:
space group: Pm (6)
ΔE_f (raw): -3.732 kcal/mol of atoms
relative energy among the computed polymorphs: 62.4 meV per atom
magnetic moment: 3.3 Bohr magnetons per cell


[2]
An optimized crystal structure of Na4B. Source: the Alexandria database, functional PBE-GGA.

Geometry as extended XYZ:
```
5
Lattice="5.2795 0.0000 0.0000 0.0000 5.2795 0.0000 0.0000 0.0000 5.2795" Properties=species:S:1:pos:R:3 pbc="T T T"
Na 0.0000 2.6397 2.6397
Na 2.6397 0.0000 2.6397
B 2.6397 2.6397 2.6397
Na 0.0000 0.0000 0.0000
Na 2.6397 2.6397 0.0000
```

Computed properties:
uncorrected energy: -0.1290 Ry per atom
space group: Pm-3m (221)
magnetic moment: 0.8 Bohr magnetons per cell


[3]
An optimized crystal structure of CrReSiI2. Source: the Alexandria database, functional PBE-GGA.

Geometry as extended XYZ:
```
5
Lattice="5.3323 0.0000 0.0000 0.0000 4.5934 0.0000 0.0000 0.0000 5.3323" Properties=species:S:1:pos:R:3 pbc="T T T"
I 2.6661 0.0000 0.0000
I 0.0000 0.0000 2.6661
Cr 2.6661 2.2967 2.6661
Si 0.0000 0.0000 0.0000
Re 0.0000 2.2967 0.0000
```

Computed properties:
space group: P4/mmm (123)
ΔE_f (raw): 48.602 kcal/mol of atoms
magnetic moment: 0.3 Bohr magnetons per cell


[4]
An optimized crystal structure of NiC. Source: the Alexandria database, functional PBE-GGA.

Geometry as extended XYZ:
```
2
Lattice="3.0695 0.0000 0.0000 1.5347 2.6582 0.0000 1.5347 0.8861 2.5062" Properties=species:S:1:pos:R:3 pbc="T T T"
C 0.0000 0.0000 0.0000
Ni 4.6042 2.6582 1.8797
```

Computed properties:
uncorrected energy: -0.4822 Ry per atom
space group: F-43m (216)
magnetic moment: 0.0 Bohr magnetons per cell


[5]
An optimized crystal structure of Sm6Y8Mg. Source: the Alexandria database, functional PBE-GGA.

Geometry as extended XYZ:
```
15
Lattice="6.2610 0.0000 0.0000 0.0000 8.2778 -4.7792 0.0000 0.0000 9.5584" Properties=species:S:1:pos:R:3 pbc="T T T"
Y 1.2080 6.4004 -3.3349
Sm 1.9401 3.0138 6.9553
Y 5.0531 1.8774 8.1141
Y 1.2080 7.9657 2.4312
Y 5.0531 0.3121 2.3481
Sm 1.9401 4.5166 3.4707
Y 1.2080 2.1895 0.9037
Y 1.1343 5.5186 0.0000
Sm 4.3210 7.5304 0.8677
Sm 4.3210 3.7612 1.3085
Sm 1.9401 0.7474 3.9116
Sm 4.3210 5.2641 -2.1761
Y 5.1267 2.7593 4.7792
Y 5.0531 6.0883 3.8755
Mg 3.1305 0.0000 0.0000
```

Computed properties:
uncorrected energy: -0.3906 Ry per atom
space group: P-3 (147)
magnetic moment: 0.0 Bohr magnetons per cell


[6]
An optimized crystal structure of Ce2NdCu9. Source: the Alexandria database, functional PBE-GGA.

Geometry as extended XYZ:
```
12
Lattice="4.9688 0.0000 1.4788 2.2643 4.4228 1.4788 0.0386 0.0236 8.9574" Properties=species:S:1:pos:R:3 pbc="T T T"
Cu 4.1754 4.0484 4.1445
Cu 3.0963 0.3980 7.7705
Cu 4.2107 2.5747 8.4983
Cu 3.6358 2.2232 5.9575
Nd 0.0000 0.0000 0.0000
Cu 5.5064 1.8717 4.1445
Cu 4.8744 2.9806 10.8828
Ce 6.1808 3.7794 6.4933
Cu 3.0610 1.8717 3.4167
Ce 1.0909 0.6670 5.4217
Cu 1.7653 2.5747 7.7705
Cu 2.3972 1.4658 1.0322
```

Computed properties:
uncorrected energy: -0.3371 Ry per atom
space group: R-3m (166)
magnetic moment: 1.0 Bohr magnetons per cell


[7]
An optimized crystal structure of LaZr2SiNi. Source: the Alexandria database, functional PBE-GGA.

Geometry as extended XYZ:
```
5
Lattice="-3.4947 0.7110 -3.6943 -2.7914 -2.4691 2.1653 -1.7592 4.1482 2.4625" Properties=species:S:1:pos:R:3 pbc="T T T"
La -4.0226 1.1951 0.4667
Zr -1.7473 0.3555 -1.8472
Ni -1.3957 -1.2346 1.0826
Zr -0.8796 2.0741 1.2312
Si 0.0000 0.0000 0.0000
```

Computed properties:
space group: P4/mmm (123)
ΔE_f (raw): 1.387 kcal/mol of atoms
magnetic moment: 0.0 Bohr magnetons per cell


[8]
An optimized crystal structure of CsKRb4Na2. Source: the Alexandria database, functional PBE-GGA.

Geometry as extended XYZ:
```
16
Lattice="-3.7111 11.1041 4.5743 -11.4606 -1.1134 -5.0411 8.4002 -10.9166 7.1008" Properties=species:S:1:pos:R:3 pbc="T T T"
K -5.2413 5.0892 5.6041
Rb -9.4133 2.2299 -2.3350
Na -1.8556 5.5521 2.2871
Cs -3.3857 -0.4630 3.3170
K -5.7303 -0.5568 -2.5205
Cs 4.6891 0.1875 11.6751
Rb -1.1840 2.8925 5.8830
Rb -11.2170 6.8650 -0.2349
Rb -5.5874 -3.8185 0.7511
Na 2.3445 0.0938 5.8375
Rb 0.8416 -3.1586 3.8873
Rb 2.6418 -3.1556 8.9691
Rb 4.4455 -7.7910 6.8688
Rb -7.6131 2.2327 2.7466
Na 4.2000 -5.4583 3.5504
Na -7.5858 4.9954 -0.2334
```

Computed properties:
uncorrected energy: -0.0722 Ry per atom
space group: C2/c (15)
magnetic moment: 0.0 Bohr magnetons per cell


[9]
An optimized crystal structure of TbErAlCd. Source: the Alexandria database, functional PBE-GGA.

Geometry as extended XYZ:
```
4
Lattice="-0.1820 4.9795 1.4470 -4.5556 2.4745 0.2144 -2.0358 1.2940 4.5939" Properties=species:S:1:pos:R:3 pbc="T T T"
Er 0.0000 0.0000 0.0000
Cd -5.0801 6.5610 4.6915
Al -1.6934 2.1870 1.5638
Tb -3.3867 4.3740 3.1277
```

Computed properties:
space group: F-43m (216)
relative energy among the computed polymorphs: 14.0 meV per atom
magnetic moment: 0.0 Bohr magnetons per cell


[10]
An optimized crystal structure of K2RbPdF6. Source: the Alexandria database, functional PBE-GGA.

Geometry as extended XYZ:
```
10
Lattice="0.0000 4.6449 4.6449 4.6449 0.0000 4.6449 4.6449 4.6449 0.0000" Properties=species:S:1:pos:R:3 pbc="T T T"
F 7.2374 4.6449 4.6449
Rb 4.6449 4.6449 4.6449
F 4.6449 7.2374 4.6449
K 6.9673 6.9673 6.9673
K 2.3224 2.3224 2.3224
F 4.6449 4.6449 7.2374
F 4.6449 4.6449 2.0523
F 4.6449 2.0523 4.6449
F 2.0523 4.6449 4.6449
Pd 0.0000 0.0000 0.0000
```

Computed properties:
space group: Fm-3m (225)
ΔE_f (raw): -49.860 kcal/mol of atoms
relative energy among the computed polymorphs: 72.9 meV per atom
magnetic moment: 1.0 Bohr magnetons per cell


[11]
An optimized crystal structure of Tb5NdIr4. Source: the Alexandria database, functional PBE-GGA.

Geometry as extended XYZ:
```
10
Lattice="4.3129 0.0000 0.0000 0.0000 7.3398 -1.2383 -2.1564 -2.3105 8.7738" Properties=species:S:1:pos:R:3 pbc="T T T"
Tb 2.1564 -0.9873 5.7656
Ir 0.0000 5.3734 -0.9064
Ir 0.0000 4.4852 4.2716
Ir 2.1564 -0.3442 8.4419
Tb 0.0000 2.2263 2.4077
Nd 2.1564 0.0000 0.0000
Tb 2.1564 2.8030 5.1278
Tb 0.0000 6.0166 1.7699
Ir 2.1564 0.5441 3.2639
Tb 2.1564 3.6699 -0.6191
```

Computed properties:
uncorrected energy: -0.5120 Ry per atom
space group: C2/m (12)
magnetic moment: 0.0 Bohr magnetons per cell


[12]
An optimized crystal structure of Ti8Ga2Si. Source: the Alexandria database, functional PBE-GGA.

Geometry as extended XYZ:
```
11
Lattice="4.4343 0.0000 0.0000 0.0000 5.3237 0.0551 -2.2172 -2.1642 7.8209" Properties=species:S:1:pos:R:3 pbc="T T T"
Ti 2.2172 2.4026 4.2595
Ti 2.2172 2.2686 1.4362
Ga 0.0000 3.2806 2.7491
Ti 0.0000 0.8909 6.4398
Ti 0.0000 3.9678 0.2094
Ti 0.0000 0.7569 3.6166
Si 2.2172 0.0000 0.0000
Ti 2.2172 -0.8083 7.6666
Ti 2.2172 -0.5012 2.4410
Ga 2.2172 -0.1211 5.1269
Ti 0.0000 3.6607 5.4350
```

Computed properties:
space group: C2/m (12)
ΔE_f (raw): -5.624 kcal/mol of atoms
magnetic moment: 0.0 Bohr magnetons per cell


magnetic moment of number 12 (Ti8Ga2Si)? 0.0 Bohr magnetons per cell